VASP calculation (PBE) on a relaxed structure of Sm6Tm8Cd.

Computed properties:
- E_form (eV per formula unit) = 3.50
- volume (Å³ per atom) = 32.898
- raw total energy (eV per atom) = -4.10

a b c (Å): 6.696 9.225 9.225
angles (deg): 120.00 90.00 90.00
Atoms (fractional coordinates):
Tm1 0.895 0.685 0.664
Tm2 0.819 0.333 0.667
Tm3 0.895 0.980 0.315
Tm4 0.105 0.020 0.685
Tm5 0.895 0.336 0.020
Tm6 0.181 0.667 0.333
Tm7 0.105 0.315 0.336
Tm8 0.105 0.664 0.980
Sm1 0.602 0.923 0.604
Sm2 0.398 0.319 0.923
Sm3 0.602 0.396 0.319
Sm4 0.602 0.681 0.077
Sm5 0.398 0.604 0.681
Sm6 0.398 0.077 0.396
Cd1 0.500 0.000 0.000